{"formula": "AsIr", "functional": "meta-GGA SCAN", "state": "PBEsol geometry", "total_magnetization_mub_per_cell": 0.0, "energy_ev_per_fu": -90.78, "dos_at_fermi_per_ev_atom": 0.492, "cell": [[-1.743, 1.011, 2.174], [1.002, -2.135, 1.796], [2.513, 2.067, 1.054]], "species": ["As", "Ir"], "frac_coords": [[0.000, 0.000, 0.000], [0.500, 0.500, 0.500]]}